TiFeN2O | PBE+U | relaxed

Cell lengths 3.936, 3.936, 3.776 Å; angles 90.00, 90.00, 90.00 degrees
Each line ends with the local moment (μB).
Fractional coordinates of all 5 atoms:
N 0.000 0.500 0.000  0.31
N 0.500 0.000 0.000  0.31
Fe 0.500 0.500 0.500  4.00
O 0.000 0.000 0.500  0.23
Ti 0.000 0.000 0.000  -0.01

Computed properties:
total magnetic moment: 5.1 μB per formula unit
space group: P4/mmm, No. 123
E_tot: -7.0642 eV per atom